## Tl3Cu2SbCl9 (GGA-PBE)

Data for a relaxed Tl3Cu2SbCl9 crystal.

Computed properties:
formation energy (no corrections): -11.857 eV per formula unit
magnetic moment: 0.00 μB/f.u.
V: 26.118 A^3/atom
DOS at the Fermi energy: 6.043 states/eV/f.u.

Lattice parameters (Å, degrees): 7.1429 7.1429 8.8666 90.00 90.00 120.00
Space group P-3m1 (No. 164)
Asymmetric unit:
Tl 0.0000 0.0000 0.0000 [1 per cell]
Tl 0.3333 0.6667 0.7121 [2 per cell]
Cu 0.3333 0.6667 0.1502 [2 per cell]
Sb 0.0000 0.0000 0.5000 [1 per cell]
Cl 0.0000 0.5000 0.0000 [3 per cell]
Cl 0.1712 0.3423 0.3234 [6 per cell]

***

## TaNiRu (GGA-PBE)

Data for a relaxed TaNiRu crystal.

Computed properties:
magnetic moment: 0.79 μB/f.u.
energy of formation: 407 meV per atom
offset from the most stable computed form: 68.1 kJ per mole of atoms
V: 17.281 A^3/atom
DOS at the Fermi energy: 5.164 states/eV/f.u.

Lattice parameters (Å, degrees): 5.919 5.919 5.919 90.00 90.00 90.00
Space group F-43m (No. 216)
Asymmetric unit:
Ta 0.000 0.000 0.000 [4 per cell]
Ni 0.000 0.000 0.500 [4 per cell]
Ru 0.250 0.250 0.750 [4 per cell]

***

## MgMn2Cr (GGA-PBE)

Data for a relaxed MgMn2Cr crystal.

Computed properties:
magnetic moment: 0.00 μB/f.u.
energy of formation: 987 meV per atom
V: 14.350 A^3/atom
DOS at the Fermi energy: 4.665 states/eV/f.u.

Lattice parameters (Å, degrees): 3.668 3.668 17.064 90.00 90.00 90.00
Space group I-42d (No. 122)
Asymmetric unit:
Mg 0.000 0.000 0.000 [4 per cell]
Mn 0.160 0.250 0.625 [8 per cell]
Cr 0.000 0.000 0.500 [4 per cell]

***

## Ba4LiSn (GGA-PBE)

Data for a relaxed Ba4LiSn crystal.

Computed properties:
magnetic moment: 0.00 μB/f.u.
energy of formation: -207 meV per atom
V: 49.734 A^3/atom
DOS at the Fermi energy: 6.213 states/eV/f.u.

Lattice parameters (Å, degrees): 11.320 16.215 8.021 90.00 125.83 90.00
Space group C2/c (No. 15)
Asymmetric unit:
Ba 0.140 0.193 0.115 [8 per cell]
Ba 0.186 0.446 0.260 [8 per cell]
Li 0.000 0.003 0.750 [4 per cell]
Sn 0.000 0.366 0.750 [4 per cell]